# 1
# NdLu2Rh | Alexandria | GGA-PBE | relaxed
# N(E_F) ... 4.72 states/eV per cell
# Magnetic moment ... 0.0 μB per formula unit
# DFT total energy ... -5.78 eV/atom
# Symmetry ... P4/mmm
data_NdLu2Rh
_symmetry_space_group_name_H-M 'P 1'
_symmetry_Int_Tables_number 1
_symmetry_space_group_name_Hall 'P 1'
_cell_length_a 3.4348
_cell_length_b 3.4348
_cell_length_c 8.6542
_cell_angle_alpha 90.00
_cell_angle_beta 90.00
_cell_angle_gamma 90.00
loop_
_atom_site_label
_atom_site_type_symbol
_atom_site_fract_x
_atom_site_fract_y
_atom_site_fract_z
Lu1 Lu 0.0000 0.0000 0.1852
Lu2 Lu 0.0000 0.0000 0.8148
Nd1 Nd 0.5000 0.5000 0.5000
Rh1 Rh 0.5000 0.5000 0.0000

***

# 2
# NdLuRh2 | Alexandria | GGA-PBE | relaxed
# N(E_F) ... 2.37 states/eV per cell
# Magnetic moment ... 0.0 μB per formula unit
# DFT total energy ... -6.80 eV/atom
# Symmetry ... P4/mmm
data_NdLuRh2
_symmetry_space_group_name_H-M 'P 1'
_symmetry_Int_Tables_number 1
_symmetry_space_group_name_Hall 'P 1'
_cell_length_a 3.3920
_cell_length_b 3.3920
_cell_length_c 7.1245
_cell_angle_alpha 90.00
_cell_angle_beta 90.00
_cell_angle_gamma 90.00
loop_
_atom_site_label
_atom_site_type_symbol
_atom_site_fract_x
_atom_site_fract_y
_atom_site_fract_z
Lu1 Lu 0.5000 0.5000 0.0000
Rh1 Rh 0.0000 0.0000 0.7698
Rh2 Rh 0.0000 0.0000 0.2302
Nd1 Nd 0.5000 0.5000 0.5000

***

# 3
# NdLuRh | Alexandria | GGA-PBE | relaxed
# N(E_F) ... 3.22 states/eV per cell
# Magnetic moment ... 0.0 μB per formula unit
# Symmetry ... F-43m
# Energy above the most stable polymorph in this dataset ... 0.0 kJ/mol of atoms
data_NdLuRh
_symmetry_space_group_name_H-M 'P 1'
_symmetry_Int_Tables_number 1
_symmetry_space_group_name_Hall 'P 1'
_cell_length_a 4.8442
_cell_length_b 4.8442
_cell_length_c 4.8442
_cell_angle_alpha 60.00
_cell_angle_beta 60.00
_cell_angle_gamma 60.00
loop_
_atom_site_label
_atom_site_type_symbol
_atom_site_fract_x
_atom_site_fract_y
_atom_site_fract_z
Nd1 Nd 0.0000 0.0000 0.0000
Rh1 Rh 0.2500 0.2500 0.2500
Lu1 Lu 0.5000 0.5000 0.5000

***

# 4
# NdLuRh | Alexandria | GGA-PBE | relaxed
# N(E_F) ... 3.86 states/eV per cell
# Magnetic moment ... 0.0 μB per formula unit
# Symmetry ... I4mm
# Energy above the most stable polymorph in this dataset ... 0.9 kJ/mol of atoms
data_NdLuRh
_symmetry_space_group_name_H-M 'P 1'
_symmetry_Int_Tables_number 1
_symmetry_space_group_name_Hall 'P 1'
_cell_length_a 3.4652
_cell_length_b 3.4652
_cell_length_c 6.7595
_cell_angle_alpha 104.85
_cell_angle_beta 104.85
_cell_angle_gamma 90.00
loop_
_atom_site_label
_atom_site_type_symbol
_atom_site_fract_x
_atom_site_fract_y
_atom_site_fract_z
Lu1 Lu 0.2934 0.2934 0.5868
Nd1 Nd 0.0288 0.0288 0.0575
Rh1 Rh 0.6778 0.6778 0.3557

***

# 5
# NdLuRh2 | Alexandria | GGA-PBE | relaxed
# N(E_F) ... 2.47 states/eV per cell
# Magnetic moment ... 0.0 μB per formula unit
# DFT total energy ... -6.79 eV/atom
# Symmetry ... P4/mmm
data_NdLuRh2
_symmetry_space_group_name_H-M 'P 1'
_symmetry_Int_Tables_number 1
_symmetry_space_group_name_Hall 'P 1'
_cell_length_a 3.4734
_cell_length_b 4.8651
_cell_length_c 4.8651
_cell_angle_alpha 90.00
_cell_angle_beta 90.00
_cell_angle_gamma 90.00
loop_
_atom_site_label
_atom_site_type_symbol
_atom_site_fract_x
_atom_site_fract_y
_atom_site_fract_z
Rh1 Rh 0.0000 0.5000 0.0000
Rh2 Rh 0.0000 0.0000 0.5000
Nd1 Nd 0.5000 0.0000 0.0000
Lu1 Lu 0.5000 0.5000 0.5000

***

# 6
# NdLuRuRh | Alexandria | GGA-PBE | relaxed
# N(E_F) ... 2.79 states/eV per cell
# Magnetic moment ... 0.0 μB per formula unit
# DFT total energy ... -7.01 eV/atom
# Symmetry ... F-43m
data_NdLuRuRh
_symmetry_space_group_name_H-M 'P 1'
_symmetry_Int_Tables_number 1
_symmetry_space_group_name_Hall 'P 1'
_cell_length_a 4.8605
_cell_length_b 4.8605
_cell_length_c 4.8605
_cell_angle_alpha 60.00
_cell_angle_beta 60.00
_cell_angle_gamma 60.00
loop_
_atom_site_label
_atom_site_type_symbol
_atom_site_fract_x
_atom_site_fract_y
_atom_site_fract_z
Ru1 Ru 0.7500 0.7500 0.7500
Lu1 Lu 0.0000 0.0000 0.0000
Rh1 Rh 0.2500 0.2500 0.2500
Nd1 Nd 0.5000 0.5000 0.5000

***

# 7
# NdLuRu2 | Alexandria | GGA-PBE | relaxed
# N(E_F) ... 4.99 states/eV per cell
# Magnetic moment ... 0.0 μB per formula unit
# DFT total energy ... -7.21 eV/atom
# Symmetry ... P4/mmm
data_NdLuRu2
_symmetry_space_group_name_H-M 'P 1'
_symmetry_Int_Tables_number 1
_symmetry_space_group_name_Hall 'P 1'
_cell_length_a 3.4153
_cell_length_b 3.4153
_cell_length_c 6.8563
_cell_angle_alpha 90.00
_cell_angle_beta 90.00
_cell_angle_gamma 90.00
loop_
_atom_site_label
_atom_site_type_symbol
_atom_site_fract_x
_atom_site_fract_y
_atom_site_fract_z
Lu1 Lu 0.5000 0.5000 0.0000
Ru1 Ru 0.0000 0.0000 0.7620
Ru2 Ru 0.0000 0.0000 0.2380
Nd1 Nd 0.5000 0.5000 0.5000

***

# 8
# NdLu3Ru | Alexandria | GGA-PBE | relaxed
# N(E_F) ... 6.66 states/eV per cell
# Magnetic moment ... 0.0 μB per formula unit
# DFT total energy ... -5.67 eV/atom
# Symmetry ... Pm-3m
data_NdLu3Ru
_symmetry_space_group_name_H-M 'P 1'
_symmetry_Int_Tables_number 1
_symmetry_space_group_name_Hall 'P 1'
_cell_length_a 5.3011
_cell_length_b 5.3011
_cell_length_c 5.3011
_cell_angle_alpha 90.00
_cell_angle_beta 90.00
_cell_angle_gamma 90.00
loop_
_atom_site_label
_atom_site_type_symbol
_atom_site_fract_x
_atom_site_fract_y
_atom_site_fract_z
Ru1 Ru 0.0000 0.0000 0.0000
Lu1 Lu 0.0000 0.0000 0.5000
Nd1 Nd 0.5000 0.5000 0.5000
Lu2 Lu 0.5000 0.0000 0.0000
Lu3 Lu 0.0000 0.5000 0.0000

***

# 9
# NdLu2Ru | Alexandria | GGA-PBE | relaxed
# N(E_F) ... 6.12 states/eV per cell
# Magnetic moment ... 0.0 μB per formula unit
# Symmetry ... R-3m
# Energy above the most stable polymorph in this dataset ... 23.2 kJ/mol of atoms
data_NdLu2Ru
_symmetry_space_group_name_H-M 'P 1'
_symmetry_Int_Tables_number 1
_symmetry_space_group_name_Hall 'P 1'
_cell_length_a 3.5038
_cell_length_b 3.5038
_cell_length_c 10.1421
_cell_angle_alpha 80.05
_cell_angle_beta 80.05
_cell_angle_gamma 60.00
loop_
_atom_site_label
_atom_site_type_symbol
_atom_site_fract_x
_atom_site_fract_y
_atom_site_fract_z
Lu1 Lu 0.2708 0.2708 0.1877
Lu2 Lu 0.7292 0.7292 0.8123
Nd1 Nd 0.5000 0.5000 0.5000
Ru1 Ru 0.0000 0.0000 0.0000

***

# 10
# NdLu2Ru | Alexandria | GGA-PBE | relaxed
# N(E_F) ... 2.39 states/eV per cell
# Magnetic moment ... 0.0 μB per formula unit
# Symmetry ... P4/mmm
# Energy above the most stable polymorph in this dataset ... 0.0 kJ/mol of atoms
data_NdLu2Ru
_symmetry_space_group_name_H-M 'P 1'
_symmetry_Int_Tables_number 1
_symmetry_space_group_name_Hall 'P 1'
_cell_length_a 3.3971
_cell_length_b 3.3971
_cell_length_c 8.8493
_cell_angle_alpha 90.00
_cell_angle_beta 90.00
_cell_angle_gamma 90.00
loop_
_atom_site_label
_atom_site_type_symbol
_atom_site_fract_x
_atom_site_fract_y
_atom_site_fract_z
Lu1 Lu 0.0000 0.0000 0.1794
Ru1 Ru 0.5000 0.5000 0.0000
Nd1 Nd 0.5000 0.5000 0.5000
Lu2 Lu 0.0000 0.0000 0.8206

***

# 11
# NdLuS | Alexandria | GGA-PBE | relaxed
# ΔE_f (raw) ... -1.220 eV/atom
# N(E_F) ... 1.50 states/eV per cell
# Magnetic moment ... 0.0 μB per formula unit
# Symmetry ... P3m1
data_NdLuS
_symmetry_space_group_name_H-M 'P 1'
_symmetry_Int_Tables_number 1
_symmetry_space_group_name_Hall 'P 1'
_cell_length_a 6.4373
_cell_length_b 3.7905
_cell_length_c 3.7905
_cell_angle_alpha 120.00
_cell_angle_beta 90.00
_cell_angle_gamma 90.00
loop_
_atom_site_label
_atom_site_type_symbol
_atom_site_fract_x
_atom_site_fract_y
_atom_site_fract_z
S1 S 0.3190 0.3333 0.6667
Nd1 Nd 0.6043 0.6667 0.3333
Lu1 Lu 0.0766 0.0000 0.0000

***

# 12
# Nd3LuS | Alexandria | GGA-PBE | relaxed
# ΔE_f (raw) ... -0.655 eV/atom
# N(E_F) ... 5.91 states/eV per cell
# Magnetic moment ... 0.0 μB per formula unit
# Symmetry ... Pm-3m
data_Nd3LuS
_symmetry_space_group_name_H-M 'P 1'
_symmetry_Int_Tables_number 1
_symmetry_space_group_name_Hall 'P 1'
_cell_length_a 5.4778
_cell_length_b 5.4778
_cell_length_c 5.4778
_cell_angle_alpha 90.00
_cell_angle_beta 90.00
_cell_angle_gamma 90.00
loop_
_atom_site_label
_atom_site_type_symbol
_atom_site_fract_x
_atom_site_fract_y
_atom_site_fract_z
Nd1 Nd 0.0000 0.5000 0.0000
Lu1 Lu 0.5000 0.5000 0.5000
Nd2 Nd 0.5000 0.0000 0.0000
S1 S 0.0000 0.0000 0.0000
Nd3 Nd 0.0000 0.0000 0.5000